(1)
! GGA-PBE TlFeTc, relaxed; values from VASP
&SYSTEM
  ibrav = 0, nat = 3, ntyp = 3
/
ATOMIC_SPECIES
Tl 204.38 Tl.upf
Tc 98.00 Tc.upf
Fe 55.84 Fe.upf
ATOMIC_POSITIONS crystal
Tl 0.333 0.667 0.681
Tc 0.667 0.333 0.201
Fe 0.000 0.000 0.118
CELL_PARAMETERS angstrom
4.273 0.000 0.000
-2.137 3.701 0.000
0.000 0.000 3.186
! - Symmetry: P3m1
! - Excess energy over the best structure of this formula in the dataset: 0.218 eV per atom

---

(2)
! GGA-PBE PuInAg5, relaxed; values from VASP
&SYSTEM
  ibrav = 0, nat = 7, ntyp = 3
/
ATOMIC_SPECIES
Ag 107.87 Ag.upf
Pu 244.00 Pu.upf
In 114.82 In.upf
ATOMIC_POSITIONS crystal
Ag 0.000 0.500 0.240
Ag 0.500 0.000 0.760
Pu 0.000 0.000 0.500
In 0.500 0.500 0.000
Ag 0.000 0.000 0.000
Ag 0.500 0.000 0.240
Ag 0.000 0.500 0.760
CELL_PARAMETERS angstrom
4.018 0.000 0.000
0.000 4.018 0.000
0.000 0.000 9.635
! - Symmetry: P4/mmm

---

(3)
! GGA-PBE MgZn2Se2, relaxed; values from VASP
&SYSTEM
  ibrav = 0, nat = 10, ntyp = 3
/
ATOMIC_SPECIES
Se 78.96 Se.upf
Mg 24.30 Mg.upf
Zn 65.41 Zn.upf
ATOMIC_POSITIONS crystal
Se 0.000 0.500 0.392
Mg 0.500 0.000 0.225
Zn 0.000 0.500 0.106
Se 0.500 0.500 0.000
Se 0.000 0.000 0.000
Zn 0.500 0.500 0.500
Zn 0.500 0.000 0.894
Zn 0.000 0.000 0.500
Se 0.500 0.000 0.608
Mg 0.000 0.500 0.775
CELL_PARAMETERS angstrom
4.988 0.000 0.000
0.000 4.988 0.000
0.000 0.000 8.644
! - Symmetry: P4/nmm
! - Excess energy over the best structure of this formula in the dataset: 0.324 eV per atom

---

(4)
! GGA-PBE YIn2HgAu, relaxed; values from VASP
&SYSTEM
  ibrav = 0, nat = 5, ntyp = 4
/
ATOMIC_SPECIES
Y 88.91 Y.upf
Hg 200.59 Hg.upf
Au 196.97 Au.upf
In 114.82 In.upf
ATOMIC_POSITIONS crystal
Y 0.000 0.500 0.000
Hg 0.000 0.000 0.000
Au 0.500 0.500 0.500
In 0.500 0.000 0.000
In 0.000 0.000 0.500
CELL_PARAMETERS angstrom
-3.270 0.907 -4.536
2.944 -4.921 -3.106
-3.855 -3.605 2.058
! - Symmetry: P4/mmm

---

| no. | calculated total energy (eV per formula unit) | DOS at the Fermi energy (states/eV/f.u.) |
| --- | --- | --- |
| 1 | -19.072 | 3.56 |
| 2 | -30.193 | 15.37 |
| 3 | -12.159 | 1.88 |
| 4 | -12.773 | 5.00 |